[1]
KHgPb2 | SCAN | PBEsol geometry

Output
energy of formation from the pure elements	-185	meV/atom
total moment	0.0	μB/f.u.

Lattice parameters (Å, degrees): 3.6499 5.0371 7.0979 90.00 103.23 90.00
With the nearest neighbours (Å) after each atom.
Fractional positions:
Hg  0.5000  0.5000  0.0000  4 Pb 3.02
Pb  0.6853  0.0000  0.8051  2 Hg 3.02, 2 Pb 3.17-3.35
Pb  0.3147  0.0000  0.1949  2 Hg 3.02, 2 Pb 3.17-3.35
K  0.0000  0.5000  0.5000  2 Hg 3.60, 2 K 3.65, 8 Pb 3.67-3.85

[2]
MgZrCo2 | SCAN | PBEsol geometry

Output
energy of formation from the pure elements	24	meV/atom
total moment	1.9	μB/f.u.

Lattice parameters (Å, degrees): 3.1848 4.0732 5.1329 113.38 108.07 90.00
With the nearest neighbours (Å) after each atom.
Fractional positions:
Co  0.9869  0.9869  0.9738  2 Co 2.55, 4 Mg 2.59, 2 Zr 2.75
Co  0.2620  0.7620  0.5239  2 Co 2.55, 4 Zr 2.59, 2 Mg 2.73
Zr  0.7393  0.2393  0.4786  6 Co 2.59-2.75, 4 Mg 2.87-2.89
Mg  0.5118  0.5118  0.0237  6 Co 2.59-2.73, 4 Zr 2.87-2.89

[3]
KCdRe2Ir | SCAN | PBEsol geometry

Output
energy of formation from the pure elements	2844	meV/atom
total moment	5.7	μB/f.u.

Lattice parameters (Å, degrees): 4.9559 4.9877 4.9877 90.00 90.00 90.00
With the nearest neighbours (Å) after each atom.
Fractional positions:
Ir  0.5000  0.0000  0.0000  2 Cd 2.48
Cd  0.0000  0.0000  0.0000  2 Ir 2.48, 4 Re 2.49
K  0.5000  0.5000  0.5000  8 Re 3.52, 4 Ir 3.53
Re  0.0000  0.0000  0.5000  2 Cd 2.49
Re  0.0000  0.5000  0.0000  2 Cd 2.49